Below is a geometry-optimized ScTe2Rh structure, with properties calculated at the GGA-PBE level.

Summary:
uncorrected formation energy = -167 kJ/mol of formula units
E = -5.423 eV per atom
offset from the most stable computed form = 336.8 meV per atom
crystal system = tetragonal

a b c (Å): 8.731 8.731 8.731
angles (deg): 144.86 144.86 50.54
Fractional coordinates of all 8 atoms:
Sc: 0.000 0.000 0.000
Sc: 0.750 0.250 0.500
Te: 0.163 0.625 0.038
Te: 0.375 0.413 0.538
Te: 0.587 0.125 0.962
Te: 0.875 0.837 0.462
Rh: 0.250 0.750 0.500
Rh: 0.500 0.500 0.000